# 1
Entry from Alexandria: crystalline NpReNi4 at its relaxed geometry (GGA-PBE).

POSCAR file:
```
NpReNi4
1.0
0.000 3.424 3.424
3.424 0.000 3.424
3.424 3.424 0.000
Np Re Ni
1 1 4
direct
0.000 0.000 0.000
0.250 0.250 0.250
0.127 0.624 0.624
0.624 0.127 0.624
0.624 0.624 0.127
0.624 0.624 0.624
```

Computed properties:
Space-group type: No. 216
E_form, kcal/mol of atoms: 1.0
N(E_F), states/eV per cell: 7.7
M_tot, μB per atom: 0.012


# 2
Entry from Alexandria: crystalline NpNi2Rh at its relaxed geometry (GGA-PBE).

POSCAR file:
```
NpNi2Rh
1.0
3.880 0.000 0.000
0.000 3.880 0.000
0.000 0.000 3.956
Np Ni Rh
1 2 1
direct
0.000 0.000 0.000
0.000 0.500 0.500
0.500 0.000 0.500
0.500 0.500 0.000
```

Computed properties:
Excess energy over the best structure of this formula in the dataset, meV per atom: 0
Space-group type: No. 123
E_form, kcal/mol of atoms: -5.0
N(E_F), states/eV per cell: 9.2
M_tot, μB per atom: 0.625


# 3
Entry from Alexandria: crystalline NpNi2Rh2 at its relaxed geometry (GGA-PBE).

POSCAR file:
```
NpNi2Rh2
1.0
7.335 0.000 0.000
0.000 7.335 0.000
0.000 0.000 2.749
Np Ni Rh
2 4 4
direct
0.000 0.000 0.000
0.500 0.500 0.000
0.120 0.380 0.000
0.380 0.880 0.000
0.620 0.120 0.000
0.880 0.620 0.000
0.175 0.675 0.500
0.325 0.175 0.500
0.675 0.825 0.500
0.825 0.325 0.500
```

Computed properties:
Space-group type: No. 127
E_form, kcal/mol of atoms: -2.2
N(E_F), states/eV per cell: 17.6
M_tot, μB per atom: 0.482


# 4
Entry from Alexandria: crystalline NpNiRh at its relaxed geometry (GGA-PBE).

POSCAR file:
```
NpNiRh
1.0
-2.454 2.697 3.678
2.454 -2.697 3.678
2.454 2.697 -3.678
Np Ni Rh
2 2 2
direct
0.380 0.130 0.250
0.620 0.870 0.750
0.000 0.000 0.500
0.000 0.500 0.000
0.000 0.500 0.500
0.500 0.500 0.000
```

Computed properties:
Excess energy over the best structure of this formula in the dataset, meV per atom: 0
Space-group type: No. 74
E_form, kcal/mol of atoms: -6.6
N(E_F), states/eV per cell: 14.7
M_tot, μB per atom: 1.154


# 5
Entry from Alexandria: crystalline Np4NiRh12 at its relaxed geometry (GGA-PBE).

POSCAR file:
```
Np4NiRh12
1.0
-4.129 4.129 4.129
4.129 -4.129 4.129
4.129 4.129 -4.129
Np Ni Rh
4 1 12
direct
0.000 0.000 0.500
0.000 0.500 0.000
0.500 0.000 0.000
0.500 0.500 0.500
0.000 0.000 0.000
0.000 0.286 0.286
0.000 0.714 0.714
0.250 0.500 0.750
0.250 0.750 0.500
0.286 0.000 0.286
0.286 0.286 0.000
0.500 0.250 0.750
0.500 0.750 0.250
0.714 0.000 0.714
0.714 0.714 0.000
0.750 0.250 0.500
0.750 0.500 0.250
```

Computed properties:
Space-group type: No. 229
E_form, kcal/mol of atoms: -6.3
N(E_F), states/eV per cell: 44.1
M_tot, μB per atom: 0.292


# 6
Entry from Alexandria: crystalline NpNi2Rh at its relaxed geometry (GGA-PBE).

POSCAR file:
```
NpNi2Rh
1.0
4.253 0.000 0.000
-2.127 3.684 0.000
0.000 0.000 4.775
Np Ni Rh
1 2 1
direct
0.000 0.000 0.000
0.000 0.000 0.500
0.333 0.667 0.500
0.667 0.333 0.500
```

Computed properties:
Excess energy over the best structure of this formula in the dataset, meV per atom: 480
Space-group type: No. 187
E_form, kcal/mol of atoms: 6.0
N(E_F), states/eV per cell: 11.3
M_tot, μB per atom: 0.867


# 7
Entry from Alexandria: crystalline NpNiRh at its relaxed geometry (GGA-PBE).

POSCAR file:
```
NpNiRh
1.0
4.377 0.000 0.000
-2.189 3.791 0.000
0.000 0.000 3.079
Np Ni Rh
1 1 1
direct
0.000 0.000 0.000
0.667 0.333 0.500
0.333 0.667 0.500
```

Computed properties:
Excess energy over the best structure of this formula in the dataset, meV per atom: 224
Space-group type: No. 187
E_form, kcal/mol of atoms: -1.5
N(E_F), states/eV per cell: 8.6
M_tot, μB per atom: 1.038


# 8
Entry from Alexandria: crystalline Np2Ni15Rh2 at its relaxed geometry (GGA-PBE).

POSCAR file:
```
Np2Ni15Rh2
1.0
4.176 2.411 4.033
-4.176 2.411 4.033
0.000 -4.822 4.033
Np Ni Rh
2 15 2
direct
0.164 0.164 0.164
0.836 0.836 0.836
0.000 0.500 0.500
0.149 0.149 0.661
0.149 0.661 0.149
0.200 0.500 0.800
0.200 0.800 0.500
0.339 0.851 0.851
0.500 0.000 0.500
0.500 0.200 0.800
0.500 0.500 0.000
0.500 0.800 0.200
0.661 0.149 0.149
0.800 0.200 0.500
0.800 0.500 0.200
0.851 0.339 0.851
0.851 0.851 0.339
0.393 0.393 0.393
0.607 0.607 0.607
```

Computed properties:
Space-group type: No. 166
E_form, kcal/mol of atoms: -1.9
N(E_F), states/eV per cell: 38.7
M_tot, μB per atom: 0.049


# 9
Entry from Alexandria: crystalline NpNiRh at its relaxed geometry (GGA-PBE).

POSCAR file:
```
NpNiRh
1.0
-1.679 1.679 4.451
1.679 -1.679 4.451
1.679 1.679 -4.451
Np Ni Rh
1 1 1
direct
0.000 0.000 0.000
0.331 0.331 0.000
0.676 0.676 0.000
```

Computed properties:
Excess energy over the best structure of this formula in the dataset, meV per atom: 277
Space-group type: No. 107
E_form, kcal/mol of atoms: -0.2
N(E_F), states/eV per cell: 7.8
M_tot, μB per atom: 1.048


# 10
Entry from Alexandria: crystalline Np2NiRhS5 at its relaxed geometry (GGA-PBE).

POSCAR file:
```
Np2NiRhS5
1.0
1.858 -8.349 0.000
1.858 8.349 0.000
0.000 0.000 10.091
Np Ni Rh S
4 2 2 10
direct
0.093 0.907 0.500
0.138 0.862 0.903
0.862 0.138 0.403
0.907 0.093 0.000
0.418 0.582 0.719
0.582 0.418 0.219
0.209 0.791 0.200
0.791 0.209 0.700
0.011 0.989 0.268
0.270 0.730 0.550
0.311 0.689 0.856
0.355 0.645 0.204
0.466 0.534 0.511
0.534 0.466 0.011
0.645 0.355 0.704
0.689 0.311 0.356
0.730 0.270 0.050
0.989 0.011 0.768
```

Computed properties:
Space-group type: No. 36
N(E_F), states/eV per cell: 28.2
M_tot, μB per atom: 0.791
Raw formation energy, meV per atom: -932


# 11
Entry from Alexandria: crystalline Np2NiRh3S6 at its relaxed geometry (GGA-PBE).

POSCAR file:
```
Np2NiRh3S6
1.0
7.612 -1.919 0.000
7.612 1.919 0.000
-1.145 0.000 6.796
Np Ni Rh S
2 1 3 6
direct
0.157 0.157 0.309
0.843 0.843 0.691
0.500 0.500 0.000
0.176 0.176 0.811
0.500 0.500 0.500
0.824 0.824 0.189
0.015 0.015 0.761
0.337 0.337 0.419
0.338 0.338 0.954
0.662 0.662 0.046
0.663 0.663 0.581
0.985 0.985 0.239
```

Computed properties:
Space-group type: No. 12
N(E_F), states/eV per cell: 18.5
M_tot, μB per atom: 0.578
Raw formation energy, meV per atom: -620


# 12
Entry from Alexandria: crystalline Np2Si4NiRh3 at its relaxed geometry (GGA-PBE).

POSCAR file:
```
Np2Si4NiRh3
1.0
4.082 0.000 0.000
0.000 4.082 0.000
0.000 0.000 9.875
Np Si Ni Rh
2 4 1 3
direct
0.000 0.500 0.247
0.500 0.000 0.753
0.000 0.000 0.000
0.000 0.500 0.628
0.500 0.000 0.372
0.500 0.500 0.000
0.000 0.000 0.500
0.000 0.500 0.870
0.500 0.000 0.130
0.500 0.500 0.500
```

Computed properties:
Space-group type: No. 115
N(E_F), states/eV per cell: 22.7
M_tot, μB per atom: 0.770
Raw formation energy, meV per atom: -638


# 13
Entry from Alexandria: crystalline Np2Si6NiRh at its relaxed geometry (GGA-PBE).

POSCAR file:
```
Np2Si6NiRh
1.0
2.903 1.676 11.598
-2.903 1.676 11.598
0.000 -3.352 11.598
Np Si Ni Rh
4 12 2 2
direct
0.108 0.108 0.108
0.292 0.292 0.292
0.708 0.708 0.708
0.892 0.892 0.892
0.067 0.664 0.664
0.229 0.229 0.654
0.229 0.654 0.229
0.336 0.336 0.933
0.336 0.933 0.336
0.346 0.771 0.771
0.654 0.229 0.229
0.664 0.067 0.664
0.664 0.664 0.067
0.771 0.346 0.771
0.771 0.771 0.346
0.933 0.336 0.336
0.000 0.000 0.000
0.500 0.500 0.500
0.427 0.427 0.427
0.573 0.573 0.573
```

Computed properties:
Space-group type: No. 166
N(E_F), states/eV per cell: 32.5
M_tot, μB per atom: 0.799
Raw formation energy, meV per atom: -281


# 14
Entry from Alexandria: crystalline NpNiSnRh at its relaxed geometry (GGA-PBE).

POSCAR file:
```
NpNiSnRh
1.0
0.000 3.313 3.313
3.313 0.000 3.313
3.313 3.313 0.000
Np Ni Sn Rh
1 1 1 1
direct
0.000 0.000 0.000
0.250 0.250 0.250
0.500 0.500 0.500
0.750 0.750 0.750
```

Computed properties:
Space-group type: No. 216
E_form, kcal/mol of atoms: -5.1
N(E_F), states/eV per cell: 9.1
M_tot, μB per atom: 0.792


# 15
Entry from Alexandria: crystalline NpNi2Ru at its relaxed geometry (GGA-PBE).

POSCAR file:
```
NpNi2Ru
1.0
3.810 0.000 0.000
0.000 3.810 0.000
0.000 0.000 4.011
Np Ni Ru
1 2 1
direct
0.000 0.000 0.000
0.000 0.500 0.500
0.500 0.000 0.500
0.500 0.500 0.000
```

Computed properties:
Excess energy over the best structure of this formula in the dataset, meV per atom: 0
Space-group type: No. 123
E_form, kcal/mol of atoms: -3.1
N(E_F), states/eV per cell: 7.0
M_tot, μB per atom: 0.398


# 16
Entry from Alexandria: crystalline NpNi2Ru at its relaxed geometry (GGA-PBE).

POSCAR file:
```
NpNi2Ru
1.0
0.000 3.101 3.101
3.101 0.000 3.101
3.101 3.101 0.000
Np Ni Ru
1 2 1
direct
0.000 0.000 0.000
0.250 0.250 0.250
0.750 0.750 0.750
0.500 0.500 0.500
```

Computed properties:
Excess energy over the best structure of this formula in the dataset, meV per atom: 271
Space-group type: No. 225
E_form, kcal/mol of atoms: 3.2
N(E_F), states/eV per cell: 8.7
M_tot, μB per atom: 0.506


# 17
Entry from Alexandria: crystalline NpScNiRu at its relaxed geometry (GGA-PBE).

POSCAR file:
```
NpScNiRu
1.0
0.000 3.278 3.278
3.278 0.000 3.278
3.278 3.278 0.000
Np Sc Ni Ru
1 1 1 1
direct
0.000 0.000 0.000
0.500 0.500 0.500
0.750 0.750 0.750
0.250 0.250 0.250
```

Computed properties:
Space-group type: No. 216
E_form, kcal/mol of atoms: -4.4
N(E_F), states/eV per cell: 6.4
M_tot, μB per atom: 0.866


# 18
Entry from Alexandria: crystalline NpSi2NiRu at its relaxed geometry (GGA-PBE).

POSCAR file:
```
NpSi2NiRu
1.0
-1.973 1.973 5.057
1.973 -1.973 5.057
1.973 1.973 -5.057
Np Si Ni Ru
1 2 1 1
direct
0.000 0.000 0.000
0.379 0.379 0.000
0.621 0.621 0.000
0.750 0.250 0.500
0.250 0.750 0.500
```

Computed properties:
Space-group type: No. 119
N(E_F), states/eV per cell: 9.7
M_tot, μB per atom: 0.798
Raw formation energy, meV per atom: -550


# 19
Entry from Alexandria: crystalline NpZnNiRu at its relaxed geometry (GGA-PBE).

POSCAR file:
```
NpZnNiRu
1.0
0.000 3.177 3.177
3.177 0.000 3.177
3.177 3.177 0.000
Np Zn Ni Ru
1 1 1 1
direct
0.000 0.000 0.000
0.500 0.500 0.500
0.750 0.750 0.750
0.250 0.250 0.250
```

Computed properties:
Space-group type: No. 216
E_form, kcal/mol of atoms: -0.7
N(E_F), states/eV per cell: 5.7
M_tot, μB per atom: 0.733


# 20
Entry from Alexandria: crystalline Np2NiS5 at its relaxed geometry (GGA-PBE).

POSCAR file:
```
Np2NiS5
1.0
2.665 -6.102 0.000
2.665 6.102 0.000
0.000 0.000 11.655
Np Ni S
4 2 10
direct
0.153 0.847 0.573
0.153 0.847 0.927
0.847 0.153 0.073
0.847 0.153 0.427
0.196 0.804 0.250
0.804 0.196 0.750
0.054 0.946 0.126
0.054 0.946 0.374
0.289 0.711 0.750
0.320 0.680 0.087
0.320 0.680 0.413
0.680 0.320 0.587
0.680 0.320 0.913
0.711 0.289 0.250
0.946 0.054 0.626
0.946 0.054 0.874
```

Computed properties:
Space-group type: No. 63
N(E_F), states/eV per cell: 40.2
M_tot, μB per atom: 0.831
Raw formation energy, meV per atom: -871


Number 1: total energy -8.043 eV/atom. Number 2: total energy -8.182 eV/atom. Number 3: total energy -7.936 eV/atom. Number 4: total energy -8.978 eV/atom. Number 5: total energy -8.846 eV/atom. Number 6: total energy -7.702 eV/atom. Number 7: total energy -8.754 eV/atom. Number 8: total energy -6.784 eV/atom. Number 9: total energy -8.701 eV/atom. Number 10: total energy -7.559 eV/atom. Number 11: total energy -7.160 eV/atom. Number 12: total energy -8.178 eV/atom. Number 13: total energy -7.436 eV/atom. Number 14: total energy -7.741 eV/atom. Number 15: total energy -8.578 eV/atom. Number 16: total energy -8.306 eV/atom. Number 17: total energy -8.771 eV/atom. Number 18: total energy -8.319 eV/atom. Number 19: total energy -7.349 eV/atom. Number 20: total energy -7.409 eV/atom.